## i
A plane-wave DFT calculation with GGA-PBE was carried out for an optimized crystal structure of CdBiTeN2.

Cell: 4.384 4.384 6.536 Å, 90.00 90.00 90.00°
Element x y z (fractional)
Cd 0.000 0.000 0.000
Bi 0.500 0.500 0.500
Te 0.500 0.500 0.000
N 0.000 0.500 0.500
N 0.500 0.000 0.500

## Properties
Volume ... 25.1 A^3/atom

## ii
A plane-wave DFT calculation with GGA-PBE was carried out for an optimized crystal structure of CdBiTeN2.

Cell: 4.482 4.482 6.051 Å, 90.00 90.00 90.00°
Element x y z (fractional)
Cd 0.000 0.000 0.000
Bi 0.500 0.500 0.500
Te 0.000 0.000 0.500
N 0.000 0.500 0.000
N 0.500 0.000 0.000

## Properties
Volume ... 24.3 A^3/atom

Q: Which of them is the most stable? A: i.

## i
A plane-wave DFT calculation with GGA-PBE was carried out for an optimized crystal structure of NaCd4Bi2.

Cell: 9.761 9.761 4.542 Å, 90.00 90.00 152.65°
Element x y z (fractional)
Na 0.000 0.000 0.000
Cd 0.191 0.809 0.500
Cd 0.303 0.697 0.000
Cd 0.697 0.303 0.000
Cd 0.809 0.191 0.500
Bi 0.415 0.585 0.500
Bi 0.585 0.415 0.500

## Properties
Volume ... 28.4 A^3/atom

## ii
A plane-wave DFT calculation with GGA-PBE was carried out for an optimized crystal structure of NaCd4Bi2.

Cell: 8.535 8.535 8.535 Å, 37.11 37.11 37.11°
Element x y z (fractional)
Na 0.000 0.000 0.000
Cd 0.129 0.129 0.129
Cd 0.435 0.435 0.435
Cd 0.565 0.565 0.565
Cd 0.871 0.871 0.871
Bi 0.254 0.254 0.254
Bi 0.746 0.746 0.746

## Properties
Volume ... 29.0 A^3/atom

Q: Which of them is the most stable? A: i.

## i
A plane-wave DFT calculation with GGA-PBE was carried out for an optimized crystal structure of Na3CdBi.

Cell: 6.025 6.025 6.025 Å, 90.00 90.00 90.00°
Element x y z (fractional)
Na 0.000 0.000 0.500
Na 0.000 0.500 0.000
Na 0.500 0.000 0.000
Cd 0.500 0.500 0.500
Bi 0.000 0.000 0.000

## Properties
Volume ... 43.7 A^3/atom

## ii
A plane-wave DFT calculation with GGA-PBE was carried out for an optimized crystal structure of Na3CdBi.

Cell: 7.839 7.839 7.839 Å, 87.67 114.50 128.75°
Element x y z (fractional)
Na 0.197 0.005 0.691
Na 0.247 0.025 0.272
Na 0.247 0.475 0.722
Na 0.314 0.505 0.309
Na 0.753 0.525 0.278
Na 0.753 0.975 0.728
Cd 0.256 0.757 0.000
Cd 0.757 0.257 0.000
Bi 0.699 0.504 0.695
Bi 0.809 0.004 0.305

## Properties
Volume ... 32.5 A^3/atom

Q: Which of them is the most stable? A: i.

## i
A plane-wave DFT calculation with GGA-PBE was carried out for an optimized crystal structure of Na2CdBi3.

Cell: 10.996 10.145 6.453 Å, 79.60 65.15 35.25°
Element x y z (fractional)
Na 0.247 0.753 0.753
Na 0.250 0.250 0.250
Na 0.750 0.750 0.750
Na 0.753 0.247 0.247
Cd 0.336 0.336 0.664
Cd 0.664 0.664 0.336
Bi 0.170 0.662 0.338
Bi 0.177 0.177 0.823
Bi 0.338 0.830 0.170
Bi 0.662 0.170 0.830
Bi 0.823 0.823 0.177
Bi 0.830 0.338 0.662

## Properties
Volume ... 29.9 A^3/atom

## ii
A plane-wave DFT calculation with GGA-PBE was carried out for an optimized crystal structure of Na2CdBi3.

Cell: 6.476 6.476 8.881 Å, 98.70 98.70 94.22°
Element x y z (fractional)
Na 0.125 0.628 0.875
Na 0.372 0.875 0.625
Na 0.628 0.125 0.375
Na 0.875 0.372 0.125
Cd 0.425 0.575 0.250
Cd 0.575 0.425 0.750
Bi 0.095 0.905 0.250
Bi 0.170 0.333 0.511
Bi 0.333 0.170 0.011
Bi 0.667 0.830 0.989
Bi 0.830 0.667 0.489
Bi 0.905 0.095 0.750

## Properties
Volume ... 30.2 A^3/atom

Q: Which of them is the most stable? A: ii.

## i
A plane-wave DFT calculation with GGA-PBE was carried out for an optimized crystal structure of NaCdBiPd2.

Cell: 5.164 5.164 5.574 Å, 90.00 90.00 90.00°
Element x y z (fractional)
Na 0.000 0.000 0.000
Cd 0.500 0.500 0.000
Bi 0.000 0.000 0.500
Pd 0.000 0.500 0.500
Pd 0.500 0.000 0.500

## Properties
Volume ... 29.7 A^3/atom

## ii
A plane-wave DFT calculation with GGA-PBE was carried out for an optimized crystal structure of NaCdBiPd2.

Cell: 4.819 4.819 4.922 Å, 90.00 90.00 90.00°
Element x y z (fractional)
Na 0.000 0.000 0.000
Cd 0.000 0.000 0.500
Bi 0.500 0.500 0.500
Pd 0.000 0.500 0.000
Pd 0.500 0.000 0.000

## Properties
Volume ... 22.9 A^3/atom

Q: Which of them is the most stable? A: i.

## i
A plane-wave DFT calculation with GGA-PBE was carried out for an optimized crystal structure of Cd2NiBi2.

Cell: 7.946 7.946 7.946 Å, 147.51 147.51 46.61°
Element x y z (fractional)
Cd 0.091 0.091 0.000
Cd 0.909 0.909 0.000
Ni 0.500 0.500 0.000
Bi 0.250 0.750 0.500
Bi 0.750 0.250 0.500

## Properties
Volume ... 28.8 A^3/atom

## ii
A plane-wave DFT calculation with GGA-PBE was carried out for an optimized crystal structure of Cd2NiBi2.

Cell: 7.004 7.004 5.015 Å, 90.00 90.00 90.00°
Element x y z (fractional)
Cd 0.153 0.347 0.000
Cd 0.347 0.847 0.000
Cd 0.653 0.153 0.000
Cd 0.847 0.653 0.000
Ni 0.000 0.000 0.000
Ni 0.500 0.500 0.000
Bi 0.169 0.669 0.500
Bi 0.331 0.169 0.500
Bi 0.669 0.831 0.500
Bi 0.831 0.331 0.500

## Properties
Volume ... 24.6 A^3/atom

Q: Which of them is the most stable? A: ii.

## i
A plane-wave DFT calculation with GGA-PBE was carried out for an optimized crystal structure of NpCdBi.

Cell: 8.064 8.064 8.064 Å, 156.56 156.56 33.39°
Element x y z (fractional)
Np 0.000 0.000 0.000
Cd 0.343 0.343 0.000
Bi 0.663 0.663 0.000

## Properties
Volume ... 27.6 A^3/atom

## ii
A plane-wave DFT calculation with GGA-PBE was carried out for an optimized crystal structure of NpCdBi.

Cell: 13.933 13.933 13.933 Å, 14.81 14.81 14.81°
Element x y z (fractional)
Np 0.182 0.182 0.182
Np 0.818 0.818 0.818
Cd 0.360 0.360 0.360
Cd 0.640 0.640 0.640
Bi 0.087 0.087 0.087
Bi 0.913 0.913 0.913

## Properties
Volume ... 25.7 A^3/atom

Q: Which of them is the most stable? A: ii.

## i
A plane-wave DFT calculation with GGA-PBE was carried out for an optimized crystal structure of Cd3BiO.

Cell: 5.808 5.808 5.808 Å, 90.00 90.00 90.00°
Element x y z (fractional)
Cd 0.000 0.000 0.500
Cd 0.000 0.500 0.000
Cd 0.500 0.000 0.000
Bi 0.000 0.000 0.000
O 0.500 0.500 0.500

## Properties
Volume ... 39.2 A^3/atom

## ii
A plane-wave DFT calculation with GGA-PBE was carried out for an optimized crystal structure of Cd3BiO.

Cell: 4.779 4.779 4.779 Å, 90.00 90.00 90.00°
Element x y z (fractional)
Cd 0.000 0.000 0.500
Cd 0.000 0.500 0.000
Cd 0.500 0.000 0.000
Bi 0.500 0.500 0.500
O 0.000 0.000 0.000

## Properties
Volume ... 21.8 A^3/atom

Q: Which of them is the most stable? A: ii.